(1)
Na3MnSn | PBE | optimized geometry

Energy, eV/atom: -2.758
ΔE_f, eV/f.u.: 3.3
Energy above the lowest structure with this stoichiometry, kJ/mol of atoms: 0.00
Magnetic moment, Bohr magnetons per cell: 6.0

Lattice parameters (Å, degrees): 5.887 5.887 5.887 90.00 90.00 90.00
Last column: magnetic moment on the atom in μB.
Fractional coordinates of all 5 atoms:
Sn 0.000 0.000 0.000  -0.38
Mn 0.500 0.500 0.500  -4.54
Na 0.000 0.000 0.500  -0.02
Na 0.000 0.500 0.000  -0.01
Na 0.500 0.000 0.000  -0.01



(2)
CaIrSe2 | PBE | optimized geometry

Energy, eV/atom: -4.761
Uncorrected formation energy, meV per atom: -303
Energy above the lowest structure with this stoichiometry, kJ/mol of atoms: 42.55
Magnetic moment, Bohr magnetons per cell: 0.0

Lattice parameters (Å, degrees): 4.777 4.777 4.777 60.00 60.00 60.00
Fractional coordinates of all 4 atoms:
Se 0.250 0.250 0.250
Se 0.750 0.750 0.750
Ir 0.500 0.500 0.500
Ca 0.000 0.000 0.000